Record 1
AlTc5 after structural relaxation, computed with PBE.

a b c (Å): 5.8977 5.8977 3.9852
angles (deg): 90.00 90.00 140.85
Positions (direct):
Tc: 0.1716 0.8284 0.0000
Tc: 0.8284 0.1716 0.0000
Tc: 0.0000 0.0000 0.5000
Tc: 0.3328 0.6672 0.5000
Tc: 0.6672 0.3328 0.5000
Al: 0.5000 0.5000 0.0000

Symmetry = Cmmm, No. 65
Uncorrected energy = -55.78 eV/cell
Formation enthalpy at 0 K = -0.0353 eV/atom
Fermi-level density of states = 6.00 states/eV/f.u.
Energy above the lowest structure with this stoichiometry = 0.545 eV/f.u.

Record 2
Ac6Te3As2P after structural relaxation, computed with PBE.

a b c (Å): 7.9221 7.9221 8.1625
angles (deg): 99.33 99.33 119.96
Positions (direct):
As: 0.3337 0.6663 0.0000
Ac: 0.9265 0.5981 0.7792
Ac: 0.2541 0.2541 0.7781
Te: 0.5000 0.5000 0.5000
As: 0.6663 0.3337 0.0000
Ac: 0.5981 0.9265 0.7792
Te: 0.8316 0.1684 0.5000
Te: 0.1684 0.8316 0.5000
P: 0.0000 0.0000 0.0000
Ac: 0.0735 0.4019 0.2208
Ac: 0.7459 0.7459 0.2219
Ac: 0.4019 0.0735 0.2208

Symmetry = C2/m, No. 12
Uncorrected energy = -67.52 eV/cell
E_form (uncorrected) = -1.56 eV/atom
Fermi-level density of states = 5.31 states/eV/f.u.

Record 3
AlPtS6 after structural relaxation, computed with PBE.

a b c (Å): 6.6738 7.1236 5.1583
angles (deg): 79.24 82.19 48.99
Positions (direct):
S: 0.8261 0.4108 0.8510
S: 0.6465 0.6425 0.1346
S: 0.1747 0.9412 0.5771
S: 0.3535 0.3575 0.8654
S: 0.8253 0.0588 0.4229
S: 0.1739 0.5892 0.1490
Al: 0.5000 0.5000 0.5000
Pt: 0.0000 0.0000 0.0000

Symmetry = P-1, No. 2
Uncorrected energy = -36.72 eV/cell
E_form (uncorrected) = -0.27 eV/atom
Fermi-level density of states = 1.56 states/eV/f.u.

Record 4
ReAsIr2 after structural relaxation, computed with PBE.

a b c (Å): 2.8270 2.8270 7.6564
angles (deg): 90.00 90.00 90.00
Positions (direct):
Ir: 0.0000 0.0000 0.0125
Ir: 0.0000 0.0000 0.4875
As: 0.5000 0.5000 0.7500
Re: 0.5000 0.5000 0.2500

Symmetry = P4/mmm, No. 123
Uncorrected energy = -34.58 eV/cell
Formation enthalpy at 0 K = 0.0610 eV/atom
Fermi-level density of states = 3.07 states/eV/f.u.

Record 5
TaN after structural relaxation, computed with PBE.

a b c (Å): 2.9650 2.9650 3.1194
angles (deg): 90.00 90.00 90.00
Positions (direct):
Ta: 0.0000 0.0000 0.5000
N: 0.5000 0.5000 0.5000

Symmetry = P4/mmm, No. 123
Uncorrected energy = -21.50 eV/cell
E_form (uncorrected) = -0.66 eV/atom
Fermi-level density of states = 0.71 states/eV/f.u.

Record 6
TaRuCl after structural relaxation, computed with PBE.

a b c (Å): 4.5067 3.0971 18.5106
angles (deg): 90.00 102.55 90.00
Positions (direct):
Cl: 0.8209 0.0000 0.8325
Ru: 0.2240 0.0000 0.9488
Ru: 0.7760 0.5000 0.5512
Cl: 0.1791 0.0000 0.1675
Cl: 0.8209 0.5000 0.3325
Ta: 0.6829 0.5000 0.9315
Ta: 0.6829 0.0000 0.4315
Ru: 0.2240 0.5000 0.4488
Ru: 0.7760 0.0000 0.0512
Ta: 0.3171 0.0000 0.5685
Ta: 0.3171 0.5000 0.0685
Cl: 0.1791 0.5000 0.6675

Symmetry = C2/m, No. 12
Uncorrected energy = -97.65 eV/cell
E_form (uncorrected) = -0.48 eV/atom
Fermi-level density of states = 0.87 states/eV/f.u.
Energy above the lowest structure with this stoichiometry = 0.155 eV/f.u.

Record 7
NdSc5Tl6 after structural relaxation, computed with PBE.

a b c (Å): 5.1942 7.2707 8.9596
angles (deg): 113.94 106.39 90.00
Positions (direct):
Tl: 0.1725 0.4307 0.3446
Tl: 0.1725 0.9138 0.3446
Sc: 0.6686 0.6679 0.3358
Tl: 0.5000 0.7324 0.0000
Tl: 0.5000 0.2676 0.0000
Tl: 0.8275 0.0862 0.6554
Nd: 0.0000 0.0000 0.0000
Sc: 0.3379 0.8381 0.6761
Sc: 0.3314 0.3321 0.6642
Tl: 0.8275 0.5693 0.6554
Sc: 0.6621 0.1619 0.3239
Sc: 0.0000 0.5000 0.0000

Symmetry = C2/m, No. 12
Uncorrected energy = -53.81 eV/cell
Formation enthalpy at 0 K = -0.2657 eV/atom
Fermi-level density of states = 10.01 states/eV/f.u.

Record 8
KZnCr4 after structural relaxation, computed with PBE.

a b c (Å): 5.0552 5.0552 5.0552
angles (deg): 60.00 60.00 60.00
Positions (direct):
Cr: 0.8672 0.3776 0.3776
Cr: 0.3776 0.3776 0.3776
Cr: 0.3776 0.3776 0.8672
Cr: 0.3776 0.8672 0.3776
Zn: 0.0000 0.0000 0.0000
K: 0.7500 0.7500 0.7500

Symmetry = F-43m, No. 216
Uncorrected energy = -33.82 eV/cell
Formation enthalpy at 0 K = 1.1742 eV/atom
Fermi-level density of states = 9.04 states/eV/f.u.